# 1
First-principles (PBE) data for crystalline SrBeCl2 at its relaxed geometry, as listed in Alexandria.

a = 7.359 Å, b = 7.359 Å, c = 7.359 Å
α = 131.60°, β = 131.60°, γ = 70.87°
Sites, in units of the cell vectors:
Sr 0.000 0.000 0.000
Sr 0.750 0.250 0.500
Be 0.250 0.750 0.500
Be 0.500 0.500 0.000
Cl 0.244 0.625 0.119
Cl 0.375 0.494 0.619
Cl 0.506 0.125 0.881
Cl 0.875 0.756 0.381

Values from the calculation:
- Excess energy over the best structure of this formula in the dataset: 515 meV per atom
- Formation energy (no corrections): -0.54 eV/atom
- Symmetry: I-42d (122)

# 2
First-principles (PBE) data for crystalline SrBe2TeCl at its relaxed geometry, as listed in Alexandria.

a = 6.003 Å, b = 6.003 Å, c = 5.251 Å
α = 90.00°, β = 90.00°, γ = 90.00°
Sites, in units of the cell vectors:
Sr 0.000 0.000 0.000
Be 0.000 0.500 0.000
Be 0.500 0.000 0.000
Te 0.500 0.500 0.500
Cl 0.000 0.000 0.500

Values from the calculation:
- Formation energy (no corrections): 0.86 eV/atom
- Symmetry: P4/mmm (123)

# 3
First-principles (PBE) data for crystalline TaBe2Cl at its relaxed geometry, as listed in Alexandria.

a = 7.699 Å, b = 7.699 Å, c = 7.699 Å
α = 22.24°, β = 22.24°, γ = 22.24°
Sites, in units of the cell vectors:
Ta 0.000 0.000 0.000
Be 0.243 0.243 0.243
Be 0.757 0.757 0.757
Cl 0.500 0.500 0.500

Values from the calculation:
- Excess energy over the best structure of this formula in the dataset: 131 meV per atom
- Formation energy (no corrections): 0.27 eV/atom
- Symmetry: R-3m (166)

# 4
First-principles (PBE) data for crystalline TaBe2Cl at its relaxed geometry, as listed in Alexandria.

a = 4.468 Å, b = 4.468 Å, c = 4.636 Å
α = 96.32°, β = 96.32°, γ = 36.94°
Sites, in units of the cell vectors:
Ta 0.000 0.000 0.000
Be 0.264 0.264 0.701
Be 0.531 0.531 0.549
Cl 0.734 0.734 0.219

Values from the calculation:
- Excess energy over the best structure of this formula in the dataset: 303 meV per atom
- Formation energy (no corrections): 0.44 eV/atom
- Symmetry: Cm (8)

# 5
First-principles (PBE) data for crystalline TaBeCl2 at its relaxed geometry, as listed in Alexandria.

a = 3.114 Å, b = 3.142 Å, c = 8.169 Å
α = 90.00°, β = 97.11°, γ = 90.00°
Sites, in units of the cell vectors:
Ta 0.000 0.000 0.000
Be 0.507 0.500 0.167
Cl 0.298 0.000 0.319
Cl 0.904 0.500 0.765

Values from the calculation:
- Excess energy over the best structure of this formula in the dataset: 58 meV per atom
- Formation energy (no corrections): -0.42 eV/atom
- Symmetry: Pm (6)

# 6
First-principles (PBE) data for crystalline TaBeCl2 at its relaxed geometry, as listed in Alexandria.

a = 3.044 Å, b = 4.285 Å, c = 5.152 Å
α = 90.00°, β = 95.50°, γ = 90.00°
Sites, in units of the cell vectors:
Ta 0.000 0.000 0.000
Be 0.500 0.000 0.500
Cl 0.192 0.500 0.249
Cl 0.808 0.500 0.751

Values from the calculation:
- Excess energy over the best structure of this formula in the dataset: 680 meV per atom
- Formation energy (no corrections): 0.20 eV/atom
- Symmetry: P2/m (10)

# 7
First-principles (PBE) data for crystalline TaBeCl at its relaxed geometry, as listed in Alexandria.

a = 3.210 Å, b = 4.667 Å, c = 9.414 Å
α = 78.03°, β = 89.72°, γ = 69.90°
Sites, in units of the cell vectors:
Ta 0.000 0.000 0.000
Ta 0.337 0.330 0.782
Be 0.288 0.422 0.035
Be 0.681 0.640 0.909
Cl 0.466 0.061 0.210
Cl 0.833 0.345 0.573

Values from the calculation:
- Excess energy over the best structure of this formula in the dataset: 162 meV per atom
- Formation energy (no corrections): -0.22 eV/atom
- Symmetry: P1 (1)

# 8
First-principles (PBE) data for crystalline Ta3BeCl at its relaxed geometry, as listed in Alexandria.

a = 4.490 Å, b = 4.490 Å, c = 4.490 Å
α = 90.00°, β = 90.00°, γ = 90.00°
Sites, in units of the cell vectors:
Ta 0.000 0.000 0.500
Ta 0.000 0.500 0.000
Ta 0.500 0.000 0.000
Be 0.000 0.000 0.000
Cl 0.500 0.500 0.500

Values from the calculation:
- Excess energy over the best structure of this formula in the dataset: 0 meV per atom
- Formation energy (no corrections): 1.12 eV/atom
- Symmetry: Pm-3m (221)

# 9
First-principles (PBE) data for crystalline TaBeCl2 at its relaxed geometry, as listed in Alexandria.

a = 4.375 Å, b = 4.375 Å, c = 4.375 Å
α = 60.00°, β = 60.00°, γ = 60.00°
Sites, in units of the cell vectors:
Ta 0.000 0.000 0.000
Be 0.500 0.500 0.500
Cl 0.250 0.250 0.250
Cl 0.750 0.750 0.750

Values from the calculation:
- Excess energy over the best structure of this formula in the dataset: 1095 meV per atom
- Formation energy (no corrections): 0.61 eV/atom
- Symmetry: Fm-3m (225)

# 10
First-principles (PBE) data for crystalline Ta2Be2Cl at its relaxed geometry, as listed in Alexandria.

a = 6.618 Å, b = 6.618 Å, c = 3.308 Å
α = 90.00°, β = 90.00°, γ = 90.00°
Sites, in units of the cell vectors:
Ta 0.177 0.323 0.000
Ta 0.323 0.823 0.000
Ta 0.677 0.177 0.000
Ta 0.823 0.677 0.000
Be 0.109 0.609 0.500
Be 0.391 0.109 0.500
Be 0.609 0.891 0.500
Be 0.891 0.391 0.500
Cl 0.000 0.000 0.000
Cl 0.500 0.500 0.000

Values from the calculation:
- Excess energy over the best structure of this formula in the dataset: 0 meV per atom
- Formation energy (no corrections): 0.27 eV/atom
- Symmetry: P4/mbm (127)

# 11
First-principles (PBE) data for crystalline TaBeCl at its relaxed geometry, as listed in Alexandria.

a = 4.279 Å, b = 4.279 Å, c = 2.855 Å
α = 90.00°, β = 90.00°, γ = 120.00°
Sites, in units of the cell vectors:
Ta 0.000 0.000 0.000
Be 0.667 0.333 0.500
Cl 0.333 0.667 0.000

Values from the calculation:
- Excess energy over the best structure of this formula in the dataset: 855 meV per atom
- Formation energy (no corrections): 0.47 eV/atom
- Symmetry: P-6m2 (187)

# 12
First-principles (PBE) data for crystalline TaBeCl at its relaxed geometry, as listed in Alexandria.

a = 3.054 Å, b = 3.054 Å, c = 6.789 Å
α = 90.00°, β = 90.00°, γ = 120.00°
Sites, in units of the cell vectors:
Ta 0.000 0.000 0.000
Be 0.667 0.333 0.271
Cl 0.333 0.667 0.736

Values from the calculation:
- Excess energy over the best structure of this formula in the dataset: 424 meV per atom
- Formation energy (no corrections): 0.04 eV/atom
- Symmetry: P3m1 (156)

The lowest formation energy (no corrections) belongs to which entry? SrBeCl2